32
Lattice="3.6094 -5.1047 0.0000 3.6094 5.1047 0.0000 0.0000 0.0000 10.2290" Properties=species:S:1:pos:R:3 comment="CrNi6W PBE optimized geometry" polymorph_energy_mev_per_atom=0 e_form_ev_per_atom=0.00 pbc="T T T"
Cr 0.0000 0.0000 2.5022
Cr 0.0000 0.0000 7.7268
Cr 3.6094 2.5408 0.0000
Cr 3.6094 -2.5408 0.0000
Ni 0.0000 0.0000 0.0000
Ni 0.0000 0.0000 5.1145
Ni 1.8120 1.2754 3.8457
Ni 1.8120 1.2754 6.3833
Ni 1.8181 1.2738 1.2864
Ni 1.8181 1.2738 8.9425
Ni 3.6094 2.5447 2.5824
Ni 3.6094 2.5447 7.6466
Ni 1.8120 -1.2754 3.8457
Ni 1.8120 -1.2754 6.3833
Ni 1.8181 -1.2738 1.2864
Ni 1.8181 -1.2738 8.9425
Ni 3.6094 0.0000 0.0000
Ni 3.6094 0.0000 5.1145
Ni 5.4008 1.2738 1.2864
Ni 5.4008 1.2738 8.9425
Ni 5.4069 1.2754 3.8457
Ni 5.4069 1.2754 6.3833
Ni 3.6094 -2.5447 2.5824
Ni 3.6094 -2.5447 7.6466
Ni 5.4008 -1.2738 1.2864
Ni 5.4008 -1.2738 8.9425
Ni 5.4069 -1.2754 3.8457
Ni 5.4069 -1.2754 6.3833
W 3.6094 2.5456 5.1145
W 3.6094 0.0000 2.4879
W 3.6094 0.0000 7.7411
W 3.6094 -2.5456 5.1145


5
Lattice="4.7589 0.0000 0.0000 0.0000 4.7589 0.0000 0.0000 0.0000 4.7589" Properties=species:S:1:pos:R:3 comment="AlHg3B PBE optimized geometry" polymorph_energy_mev_per_atom=0 e_form_ev_per_atom=0.67 pbc="T T T"
Al 0.0000 0.0000 0.0000
Hg 0.0000 2.3794 2.3794
Hg 2.3794 0.0000 2.3794
Hg 2.3794 2.3794 0.0000
B 2.3794 2.3794 2.3794


2
Lattice="4.1161 0.0000 0.0000 -2.0580 3.5646 0.0000 0.0000 0.0000 5.5112" Properties=species:S:1:pos:R:3 comment="SrLi PBE optimized geometry" polymorph_energy_mev_per_atom=117 e_form_ev_per_atom=0.14 pbc="T T T"
Sr 0.0000 0.0000 0.0000
Li 0.0000 2.3764 2.7556


14
Lattice="3.0775 1.7768 6.1660 -3.0775 1.7768 6.1660 0.0000 -3.5536 6.1660" Properties=species:S:1:pos:R:3 comment="K2NaRu3O8 PBE optimized geometry" e_form_raw_ev_per_atom=-1.125 pbc="T T T"
K 0.0000 0.0000 0.0000
K 0.0000 0.0000 6.6253
Na 0.0000 0.0000 11.2932
Ru -1.4695 -0.8484 15.3187
Ru 1.4695 -0.8484 15.3187
Ru 0.0000 1.6968 15.3187
O -1.6959 -0.9791 10.2871
O 0.0000 0.0000 3.9847
O 0.0000 -1.9530 8.2562
O -1.6914 0.9765 8.2562
O 1.6959 -0.9791 10.2871
O 0.0000 1.9583 10.2871
O 0.0000 0.0000 14.0526
O 1.6914 0.9765 8.2562


20
Lattice="8.3258 0.0000 0.0000 0.0000 4.0480 0.0000 -0.8620 0.0000 8.9554" Properties=species:S:1:pos:R:3 comment="LiTi3Zn6 PBE optimized geometry" e_form_ev_per_atom=-0.16 pbc="T T T"
Li 0.0947 1.0120 3.5034
Li 7.3690 3.0360 5.4520
Ti 1.2040 1.0120 8.8062
Ti 2.2445 3.0360 7.0530
Ti 3.2340 1.0120 5.3235
Ti 4.2298 3.0360 3.6319
Ti 5.2192 1.0120 1.9024
Ti 6.2598 3.0360 0.1492
Zn -0.3796 3.0360 7.9675
Zn 0.5771 1.0120 6.1262
Zn 1.0362 3.0360 1.7035
Zn 1.5343 3.0360 4.3848
Zn 2.5524 1.0120 2.6064
Zn 3.6057 3.0360 0.8774
Zn 3.8580 1.0120 8.0780
Zn 4.9114 3.0360 6.3490
Zn 5.9294 1.0120 4.5706
Zn 6.4275 1.0120 7.2519
Zn 6.8866 3.0360 2.8292
Zn 7.8434 1.0120 0.9879


7
Lattice="-2.1808 2.1808 6.8927 2.1808 -2.1808 6.8927 2.1808 2.1808 -6.8927" Properties=species:S:1:pos:R:3 comment="Sm2PaCo4 PBE optimized geometry" e_form_ev_per_atom=0.16 pbc="T T T"
Sm 0.0000 0.0000 3.0683
Sm 0.0000 0.0000 10.7171
Pa 0.0000 0.0000 6.8927
Co 2.1808 0.0000 1.3272
Co 2.1808 0.0000 5.5655
Co 0.0000 2.1808 1.3272
Co 0.0000 2.1808 5.5655


16
Lattice="4.0993 2.3667 7.6154 -4.0993 2.3667 7.6154 0.0000 -4.7334 7.6154" Properties=species:S:1:pos:R:3 comment="Rb4Pu3AgS8 PBE optimized geometry" e_form_raw_ev_per_atom=-1.296 pbc="T T T"
Rb 0.0000 0.0000 0.0000
Rb -2.0496 -1.1834 7.6154
Rb -2.0496 1.1834 15.2307
Rb 0.0000 2.3667 7.6153
Pu -4.0993 0.0000 11.4230
Pu -2.0496 1.1834 3.8077
Pu 2.0496 1.1834 3.8077
Ag 0.0000 0.0000 11.4230
S -2.1446 -1.2382 12.8597
S 0.0000 0.0000 5.2620
S 0.0000 -2.4764 9.9864
S -2.1446 1.2382 9.9864
S 2.1446 -1.2382 12.8597
S 0.0000 2.4764 12.8597
S 0.0000 0.0000 17.5841
S 2.1446 1.2382 9.9864


8
Lattice="-3.1163 3.1163 6.3429 3.1163 -3.1163 6.3429 3.1163 3.1163 -6.3429" Properties=species:S:1:pos:R:3 comment="Cd2NiTe PBE optimized geometry" e_form_raw_ev_per_atom=0.378 pbc="T T T"
Cd 4.6744 1.2898 -1.5857
Cd 1.2898 1.5581 1.5857
Cd -1.5581 1.8265 4.7572
Cd 1.8265 1.5581 7.9287
Ni 0.0000 0.0000 0.0000
Ni 0.0000 3.1163 3.1715
Te 3.1163 0.0000 3.1715
Te 0.0000 0.0000 6.3429


4
Lattice="1.5799 0.9122 7.9719 -1.5799 0.9122 7.9719 0.0000 -1.8243 7.9719" Properties=species:S:1:pos:R:3 comment="TaRh2Cl PBE optimized geometry" polymorph_energy_mev_per_atom=159 e_form_raw_ev_per_atom=-0.185 pbc="T T T"
Ta 0.0000 0.0000 0.0000
Rh 0.0000 0.0000 6.1263
Rh 0.0000 0.0000 17.7894
Cl 0.0000 0.0000 11.9578


4
Lattice="2.6536 1.5320 8.3803 -2.6536 1.5320 8.3803 0.0000 -3.0641 8.3803" Properties=species:S:1:pos:R:3 comment="TlIBr2 PBE optimized geometry" polymorph_energy_mev_per_atom=0 e_form_raw_ev_per_atom=-0.462 pbc="T T T"
Tl 0.0000 0.0000 0.0000
I 0.0000 0.0000 12.5704
Br 0.0000 0.0000 9.8379
Br 0.0000 0.0000 15.3029


7
Lattice="-2.4824 2.4824 7.3708 2.4824 -2.4824 7.3708 2.4824 2.4824 -7.3708" Properties=species:S:1:pos:R:3 comment="Pr2InPd4 PBE optimized geometry" e_form_ev_per_atom=-0.23 pbc="T T T"
Pr 0.0000 0.0000 1.9739
Pr 0.0000 0.0000 12.7677
In 0.0000 0.0000 7.3708
Pd 2.4824 0.0000 0.0000
Pd 0.0000 0.0000 4.7186
Pd 0.0000 2.4824 0.0000
Pd 0.0000 0.0000 10.0230


5
Lattice="4.9174 0.0000 0.0000 0.0000 4.9174 0.0000 0.0000 0.0000 6.3738" Properties=species:S:1:pos:R:3 comment="RbBaTi2Ir PBE optimized geometry" e_form_ev_per_atom=0.53 pbc="T T T"
Rb 0.0000 0.0000 0.0000
Ba 2.4587 2.4587 0.0000
Ti 0.0000 2.4587 3.1869
Ti 2.4587 0.0000 3.1869
Ir 0.0000 0.0000 3.1869


What are the magnetization values for these records? In order: 4.1 0.0 0.0 2.9 1.6 0.0 13.0 0.0 0.0 0.0 0.0 2.0 μB/f.u..